Li2HoMoO4: relaxed, PBE with a Hubbard U.

Lattice parameters (Å, degrees): 4.405 4.405 5.729 112.61 112.61 90.01
Positions (direct):
Li: 0.250 0.750 0.500
Li: 0.000 0.000 0.000
Ho: 0.500 0.500 0.000
Mo: 0.750 0.250 0.500
O: 0.977 0.477 0.954
O: 0.523 0.023 0.046
O: 0.740 0.740 0.479
O: 0.260 0.260 0.521

## Properties
E_tot ... -6.7664 eV per atom
V ... 93 Å³ per cell
Total magnetic moment ... 3.00 μB/f.u.